(1)
First-principles (PBE) data for KAl2Ni2 after structural relaxation, as listed in Alexandria.

Summary:
- E_tot: -4.12 eV/atom
- DFT formation energy: -8.57 kJ per mole of atoms

Cell: 7.727 7.727 2.677 Å, 90.00 90.00 90.00°
Sites, in units of the cell vectors:
K 0.000 0.000 0.000
K 0.500 0.500 0.000
Al 0.127 0.373 0.500
Al 0.373 0.873 0.500
Al 0.627 0.127 0.500
Al 0.873 0.627 0.500
Ni 0.159 0.659 0.000
Ni 0.341 0.159 0.000
Ni 0.659 0.841 0.000
Ni 0.841 0.341 0.000

(2)
First-principles (PBE) data for K2Al2Ni after structural relaxation, as listed in Alexandria.

Summary:
- E_tot: -2.88 eV/atom
- DFT formation energy: 20.64 kJ per mole of atoms

Cell: 6.578 6.578 6.133 Å, 90.00 90.00 90.00°
Sites, in units of the cell vectors:
K 0.172 0.328 0.000
K 0.328 0.828 0.000
K 0.672 0.172 0.000
K 0.828 0.672 0.000
Al 0.206 0.706 0.500
Al 0.294 0.206 0.500
Al 0.706 0.794 0.500
Al 0.794 0.294 0.500
Ni 0.000 0.000 0.500
Ni 0.500 0.500 0.500

(3)
First-principles (PBE) data for KAl2Ni2 after structural relaxation, as listed in Alexandria.

Summary:
- E_tot: -4.01 eV/atom
- DFT formation energy: 2.24 kJ per mole of atoms

Cell: 6.128 6.128 6.128 Å, 138.84 138.84 59.61°
Sites, in units of the cell vectors:
K 0.000 0.000 0.000
Al 0.346 0.346 0.000
Al 0.654 0.654 0.000
Ni 0.250 0.750 0.500
Ni 0.750 0.250 0.500

(4)
First-principles (PBE) data for KAlNi2 after structural relaxation, as listed in Alexandria.

Summary:
- E_tot: -3.37 eV/atom
- DFT formation energy: 70.22 kJ per mole of atoms

Cell: 5.272 5.272 5.272 Å, 137.18 137.18 62.16°
Sites, in units of the cell vectors:
K 0.000 0.000 0.000
Al 0.750 0.250 0.500
Ni 0.250 0.750 0.500
Ni 0.500 0.500 0.000

(5)
First-principles (PBE) data for KAlNi2 after structural relaxation, as listed in Alexandria.

Summary:
- E_tot: -3.70 eV/atom
- DFT formation energy: 38.58 kJ per mole of atoms

Cell: 8.799 8.799 8.799 Å, 148.09 148.09 45.75°
Sites, in units of the cell vectors:
K 0.375 0.625 0.750
K 0.625 0.375 0.250
Al 0.125 0.875 0.250
Al 0.875 0.125 0.750
Ni 0.000 0.000 0.000
Ni 0.000 0.000 0.500
Ni 0.000 0.500 0.000
Ni 0.500 0.000 0.500

(6)
First-principles (PBE) data for KAlNi2 after structural relaxation, as listed in Alexandria.

Summary:
- E_tot: -3.86 eV/atom
- DFT formation energy: 22.76 kJ per mole of atoms

Cell: 2.701 3.554 7.640 Å, 90.00 90.00 90.00°
Sites, in units of the cell vectors:
K 0.000 0.000 0.000
Al 0.500 0.500 0.624
Ni 0.000 0.000 0.468
Ni 0.500 0.500 0.315